A plane-wave DFT calculation with PBE was carried out for a relaxed structure of Cs3PBr6.

```
data_Cs3PBr6
_chemical_formula_sum 'Cs12 P4 Br24'
_cell_length_a 11.975
_cell_length_b 11.975
_cell_length_c 11.975
_cell_angle_alpha 90.00
_cell_angle_beta 90.00
_cell_angle_gamma 90.00
_space_group_name_H-M_alt 'F m -3 m'
_space_group_IT_number 225
_space_group_name_Hall '-F 4 2 3'
loop_
_atom_site_label
_atom_site_type_symbol
_atom_site_fract_x
_atom_site_fract_y
_atom_site_fract_z
Cs1 Cs 0.000 0.000 0.000
Cs2 Cs 0.250 0.250 0.250
P1 P 0.000 0.000 0.500
Br1 Br 0.000 0.000 0.284
```

Values from the calculation:
The volume is 42.94 A^3/atom. The energy above the most stable polymorph in this dataset comes out at 0.48 kcal/mol of atoms. Its energy relative to the elements, uncorrected is -1147.4 meV/atom.

A plane-wave DFT calculation with PBE was carried out for a relaxed structure of ScBIN2.

```
data_ScBIN2
_chemical_formula_sum 'Sc1 B1 I1 N2'
_cell_length_a 3.787
_cell_length_b 3.787
_cell_length_c 4.733
_cell_angle_alpha 90.00
_cell_angle_beta 90.00
_cell_angle_gamma 90.00
_space_group_name_H-M_alt 'P 4/m m m'
_space_group_IT_number 123
_space_group_name_Hall '-P 4 2'
loop_
_atom_site_label
_atom_site_type_symbol
_atom_site_fract_x
_atom_site_fract_y
_atom_site_fract_z
Sc1 Sc 0.000 0.000 0.000
B1 B 0.500 0.500 0.500
I1 I 0.500 0.500 0.000
N1 N 0.000 0.500 0.500
```

Values from the calculation:
The volume is 13.58 A^3/atom. The energy above the most stable polymorph in this dataset comes out at 0.00 kcal/mol of atoms. Its energy relative to the elements, uncorrected is 1257.5 meV/atom.

A plane-wave DFT calculation with PBE was carried out for a relaxed structure of SmMg2Hg.

```
data_SmMg2Hg
_chemical_formula_sum 'Sm4 Mg8 Hg4'
_cell_length_a 7.193
_cell_length_b 7.193
_cell_length_c 7.193
_cell_angle_alpha 90.00
_cell_angle_beta 90.00
_cell_angle_gamma 90.00
_space_group_name_H-M_alt 'F m -3 m'
_space_group_IT_number 225
_space_group_name_Hall '-F 4 2 3'
loop_
_atom_site_label
_atom_site_type_symbol
_atom_site_fract_x
_atom_site_fract_y
_atom_site_fract_z
Sm1 Sm 0.000 0.000 0.000
Mg1 Mg 0.250 0.250 0.250
Hg1 Hg 0.000 0.000 0.500
```

Values from the calculation:
The formation energy is -0.18 eV per atom. The volume is 23.26 A^3/atom. The energy above the most stable polymorph in this dataset comes out at 2.56 kcal/mol of atoms.

A plane-wave DFT calculation with PBE was carried out for a relaxed structure of BeCo3Pt.

```
data_BeCo3Pt
_chemical_formula_sum 'Be1 Co3 Pt1'
_cell_length_a 3.883
_cell_length_b 3.883
_cell_length_c 3.883
_cell_angle_alpha 90.00
_cell_angle_beta 90.00
_cell_angle_gamma 90.00
_space_group_name_H-M_alt 'P m -3 m'
_space_group_IT_number 221
_space_group_name_Hall '-P 4 2 3'
loop_
_atom_site_label
_atom_site_type_symbol
_atom_site_fract_x
_atom_site_fract_y
_atom_site_fract_z
Be1 Be 0.000 0.000 0.000
Co1 Co 0.000 0.000 0.500
Pt1 Pt 0.500 0.500 0.500
```

Values from the calculation:
The formation energy is 0.37 eV per atom. The volume is 11.71 A^3/atom. The energy above the most stable polymorph in this dataset comes out at 0.00 kcal/mol of atoms.

A plane-wave DFT calculation with PBE was carried out for a relaxed structure of YHoNi2.

```
data_YHoNi2
_chemical_formula_sum 'Y1 Ho1 Ni2'
_cell_length_a 4.806
_cell_length_b 4.806
_cell_length_c 3.325
_cell_angle_alpha 90.00
_cell_angle_beta 90.00
_cell_angle_gamma 90.00
_space_group_name_H-M_alt 'P 4/m m m'
_space_group_IT_number 123
_space_group_name_Hall '-P 4 2'
loop_
_atom_site_label
_atom_site_type_symbol
_atom_site_fract_x
_atom_site_fract_y
_atom_site_fract_z
Y1 Y 0.000 0.000 0.000
Ho1 Ho 0.500 0.500 0.000
Ni1 Ni 0.000 0.500 0.500
```

Values from the calculation:
The formation energy is -0.39 eV per atom. The volume is 19.20 A^3/atom. The energy above the most stable polymorph in this dataset comes out at 1.46 kcal/mol of atoms.

A plane-wave DFT calculation with PBE was carried out for a relaxed structure of MgAlTe2.

```
data_MgAlTe2
_chemical_formula_sum 'Mg3 Al3 Te6'
_cell_length_a 3.6242
_cell_length_b 3.6242
_cell_length_c 30.4125
_cell_angle_alpha 90.00
_cell_angle_beta 90.00
_cell_angle_gamma 120.00
_space_group_name_H-M_alt 'R -3 m'
_space_group_IT_number 166
_space_group_name_Hall '-R 3 2"'
loop_
_atom_site_label
_atom_site_type_symbol
_atom_site_fract_x
_atom_site_fract_y
_atom_site_fract_z
Mg1 Mg 0.0000 0.0000 0.0000
Al1 Al 0.0000 0.0000 0.5000
Te1 Te 0.0000 0.0000 0.3990
```

Values from the calculation:
The volume is 28.83 A^3/atom. Its energy relative to the elements, uncorrected is 49.2 meV/atom.